# 1
# MgTa2Rh2 | Alexandria via LeMat-Bulk | PBE | optimized geometry
# **Calculated total energy**: -41.456 eV/f.u.
# **Formation energy**: -0.291 eV per atom
data_MgTa2Rh2
_cell_length_a 2.9932
_cell_length_b 18.3887
_cell_length_c 3.0457
_cell_angle_alpha 90.00
_cell_angle_beta 90.00
_cell_angle_gamma 90.00
_space_group_name_H-M_alt 'C m m m'
_space_group_IT_number 65
_space_group_name_Hall '-C 2 2'
loop_
_atom_site_label
_atom_site_fract_x
_atom_site_fract_y
_atom_site_fract_z
_atom_site_occupancy
Mg1 0.0000 0.0000 0.0000 1
Ta1 0.0000 0.1849 0.0000 1
Rh1 0.0000 0.4049 0.5000 1



# 2
# MgTaRh2 | Alexandria via LeMat-Bulk | PBE | optimized geometry
# **Calculated total energy**: -29.541 eV/f.u.
# **Formation energy**: -0.348 eV per atom
data_MgTaRh2
_cell_length_a 2.8700
_cell_length_b 4.2072
_cell_length_c 5.2850
_cell_angle_alpha 90.00
_cell_angle_beta 90.00
_cell_angle_gamma 90.00
_space_group_name_H-M_alt 'P m m 2'
_space_group_IT_number 25
loop_
_space_group_symop_operation_xyz
'x,y,z'
'-x,-y,z'
'-x,y,z'
'x,-y,z'
loop_
_atom_site_label
_atom_site_fract_x
_atom_site_fract_y
_atom_site_fract_z
_atom_site_occupancy
Mg1 0.0000 0.0000 0.0000 1
Ta1 0.5000 0.5000 0.6879 1
Rh1 0.0000 0.0000 0.4935 1
Rh2 0.5000 0.5000 0.1676 1



# 3
# MgTaRh2 | Alexandria via LeMat-Bulk | PBE | optimized geometry
# **Calculated total energy**: -29.138 eV/f.u.
# **Formation energy**: -0.247 eV per atom
data_MgTaRh2
_cell_length_a 3.4714
_cell_length_b 3.4714
_cell_length_c 5.4350
_cell_angle_alpha 90.00
_cell_angle_beta 90.00
_cell_angle_gamma 90.00
_space_group_name_H-M_alt 'P 4 m m'
_space_group_IT_number 99
loop_
_space_group_symop_operation_xyz
'x,y,z'
'-y,x,z'
'-x,-y,z'
'y,-x,z'
'-x,y,z'
'y,x,z'
'x,-y,z'
'-y,-x,z'
loop_
_atom_site_label
_atom_site_fract_x
_atom_site_fract_y
_atom_site_fract_z
_atom_site_occupancy
Mg1 0.0000 0.0000 0.0000 1
Ta1 0.5000 0.5000 0.6782 1
Rh1 0.0000 0.0000 0.4983 1
Rh2 0.5000 0.5000 0.1652 1



# 4
# Mg2TaRh | Alexandria via LeMat-Bulk | PBE | optimized geometry
# **Relative energy among the computed polymorphs**: 219 meV per atom
# **Calculated total energy**: -22.392 eV/f.u.
# **Formation energy**: 0.000 eV per atom
data_Mg2TaRh
_cell_length_a 2.8819
_cell_length_b 4.3952
_cell_length_c 5.4304
_cell_angle_alpha 90.00
_cell_angle_beta 90.00
_cell_angle_gamma 90.00
_space_group_name_H-M_alt 'P m m m'
_space_group_IT_number 47
loop_
_space_group_symop_operation_xyz
'x,y,z'
'-x,-y,-z'
'-x,-y,z'
'x,y,-z'
'x,-y,-z'
'-x,y,z'
'-x,y,-z'
'x,-y,z'
loop_
_atom_site_label
_atom_site_fract_x
_atom_site_fract_y
_atom_site_fract_z
_atom_site_occupancy
Mg1 0.0000 0.0000 0.2392 1
Ta1 0.5000 0.5000 0.5000 1
Rh1 0.5000 0.5000 0.0000 1



# 5
# MgTa2Rh | Alexandria via LeMat-Bulk | PBE | optimized geometry
# **Calculated total energy**: -32.132 eV/f.u.
# **Formation energy**: 0.130 eV per atom
data_MgTa2Rh
_cell_length_a 3.4273
_cell_length_b 3.4273
_cell_length_c 5.8972
_cell_angle_alpha 90.00
_cell_angle_beta 90.00
_cell_angle_gamma 90.00
_space_group_name_H-M_alt 'P 4/m m m'
_space_group_IT_number 123
_space_group_name_Hall '-P 4 2'
loop_
_atom_site_label
_atom_site_fract_x
_atom_site_fract_y
_atom_site_fract_z
_atom_site_occupancy
Mg1 0.0000 0.0000 0.0000 1
Ta1 0.5000 0.5000 0.2688 1
Rh1 0.0000 0.0000 0.5000 1



# 6
# MgTa2Rh | Alexandria via LeMat-Bulk | PBE | optimized geometry
# **Calculated total energy**: -32.739 eV/f.u.
# **Formation energy**: -0.022 eV per atom
data_MgTa2Rh
_cell_length_a 3.8408
_cell_length_b 4.2400
_cell_length_c 8.6708
_cell_angle_alpha 90.00
_cell_angle_beta 90.00
_cell_angle_gamma 90.00
_space_group_name_H-M_alt 'C m m m'
_space_group_IT_number 65
_space_group_name_Hall '-C 2 2'
loop_
_atom_site_label
_atom_site_fract_x
_atom_site_fract_y
_atom_site_fract_z
_atom_site_occupancy
Mg1 0.0000 0.0000 0.0000 1
Ta1 0.0000 0.5000 0.2775 1
Rh1 0.0000 0.0000 0.5000 1



# 7
# MgTa2Rh | Alexandria via LeMat-Bulk | PBE | optimized geometry
# **Calculated total energy**: -32.781 eV/f.u.
# **Formation energy**: -0.033 eV per atom
data_MgTa2Rh
_cell_length_a 3.9564
_cell_length_b 3.9564
_cell_length_c 4.3422
_cell_angle_alpha 90.00
_cell_angle_beta 90.00
_cell_angle_gamma 90.00
_space_group_name_H-M_alt 'P 4/m m m'
_space_group_IT_number 123
_space_group_name_Hall '-P 4 2'
loop_
_atom_site_label
_atom_site_fract_x
_atom_site_fract_y
_atom_site_fract_z
_atom_site_occupancy
Mg1 0.0000 0.0000 0.0000 1
Ta1 0.0000 0.5000 0.5000 1
Rh1 0.5000 0.5000 0.0000 1



# 8
# MgTaRh2 | Alexandria via LeMat-Bulk | PBE | optimized geometry
# **Calculated total energy**: -28.339 eV/f.u.
# **Formation energy**: -0.047 eV per atom
data_MgTaRh2
_cell_length_a 6.9671
_cell_length_b 6.9671
_cell_length_c 5.8254
_cell_angle_alpha 90.00
_cell_angle_beta 90.00
_cell_angle_gamma 90.00
_space_group_name_H-M_alt 'I -4 2 d'
_space_group_IT_number 122
_space_group_name_Hall 'I -4 2bw'
loop_
_atom_site_label
_atom_site_fract_x
_atom_site_fract_y
_atom_site_fract_z
_atom_site_occupancy
Mg1 0.0000 0.0000 0.0000 1
Ta1 0.0000 0.0000 0.5000 1
Rh1 0.2281 0.2500 0.6250 1